Entry A
# Pr2Zn2Cd3

An optimized crystal structure of Pr2Zn2Cd3 (PBE, the Alexandria database).

## Properties
M_tot   0.402 μB/f.u.

abc: 4.5297 21.4294 3.5227
angles: 90.00 90.00 90.00
Closest atoms and distances in Å follow each position.
Space group Cmmm (No. 65)
Inequivalent atoms, fractional coordinates:
1 Pr 0.0000 0.1610 0.0000 (multiplicity 4)  6 Zn 3.12-3.13, 5 Cd 3.45
2 Zn 0.0000 0.2815 0.5000 (multiplicity 4)  2 Zn 2.64
3 Cd 0.0000 0.0000 0.0000 (multiplicity 2)  10 Cd 3.25-3.52, 2 Pr 3.45
4 Cd 0.0000 0.4283 0.5000 (multiplicity 4)  5 Cd 3.07-3.25, 1 Zn 3.15

=====

Entry B
# Pr2Zn2Cd3

An optimized crystal structure of Pr2Zn2Cd3 (PBE, the Alexandria database).

## Properties
M_tot   0.000 μB/f.u.

abc: 10.7311 4.5175 7.5259
angles: 90.00 113.67 90.00
Closest atoms and distances in Å follow each position.
Space group C2/m (No. 12)
Inequivalent atoms, fractional coordinates:
1 Pr 0.1407 0.0000 0.2779 (multiplicity 4)  4 Zn 3.13-3.21, 6 Cd 3.37-3.49
2 Zn 0.1524 0.0000 0.7008 (multiplicity 4)  5 Cd 2.83-2.96, 3 Pr 3.13
3 Cd 0.0000 0.5000 0.5000 (multiplicity 2)  4 Zn 2.84, 2 Cd 3.00
4 Cd 0.1222 0.5000 0.9355 (multiplicity 4)  3 Zn 2.83-2.96, 2 Cd 3.00-3.14

=====

Which is most stable, and by how much? entry B, by 0.068 eV/atom.

=====

Entry A
# Pr2ZnCd

An optimized crystal structure of Pr2ZnCd (PBE, the Alexandria database).

## Properties
M_tot   0.000 μB/f.u.

abc: 3.7696 3.7696 7.6991
angles: 90.00 90.00 90.00
Closest atoms and distances in Å follow each position.
Space group P4/mmm (No. 123)
Inequivalent atoms, fractional coordinates:
1 Pr 0.0000 0.0000 0.2305 (multiplicity 2)  4 Zn 3.20, 4 Cd 3.38, 1 Pr 3.55
2 Zn 0.5000 0.5000 0.0000 (multiplicity 1)  8 Pr 3.20
3 Cd 0.5000 0.5000 0.5000 (multiplicity 1)  8 Pr 3.38, 4 Cd 3.77

=====

Entry B
# Pr2ZnCd

An optimized crystal structure of Pr2ZnCd (PBE, the Alexandria database).

## Properties
M_tot   0.000 μB/f.u.

abc: 3.7438 3.7438 29.2473
angles: 90.00 90.00 120.00
Closest atoms and distances in Å follow each position.
Space group R-3m (No. 166, hexagonal axes)
Inequivalent atoms, fractional coordinates:
1 Pr 0.0000 0.0000 0.2441 (multiplicity 6)  3 Zn 3.13, 3 Cd 3.39
2 Zn 0.0000 0.0000 0.5000 (multiplicity 3)  6 Pr 3.13
3 Cd 0.0000 0.0000 0.0000 (multiplicity 3)  6 Pr 3.39, 6 Cd 3.74

=====

Entry C
# Pr2ZnCd

An optimized crystal structure of Pr2ZnCd (PBE, the Alexandria database).

## Properties
M_tot   0.004 μB/f.u.

abc: 7.6041 7.6041 7.6041
angles: 90.00 90.00 90.00
Closest atoms and distances in Å follow each position.
Space group Fm-3m (No. 225)
Inequivalent atoms, fractional coordinates:
1 Pr 0.2500 0.2500 0.2500 (multiplicity 8)  4 Cd 3.29, 4 Zn 3.29
2 Zn 0.0000 0.0000 0.0000 (multiplicity 4)  8 Pr 3.29
3 Cd 0.0000 0.0000 0.5000 (multiplicity 4)  8 Pr 3.29

=====

Which is most stable, and by how much? entry A, by 0.020 eV/atom.